# 1
Density functional theory data (GGA-PBE) for BeI2O2 after structural relaxation.

```
data_BeI2O2
_symmetry_space_group_name_H-M 'P 4/m m m'
_symmetry_Int_Tables_number 123
_symmetry_space_group_name_Hall '-P 4 2'
_cell_length_a 4.0153
_cell_length_b 4.0153
_cell_length_c 8.4170
_cell_angle_alpha 90.00
_cell_angle_beta 90.00
_cell_angle_gamma 90.00
loop_
_atom_site_label
_atom_site_type_symbol
_atom_site_fract_x
_atom_site_fract_y
_atom_site_fract_z
_atom_site_occupancy
Be1 Be 0.0000 0.0000 0.0000 1
I1 I 0.5000 0.5000 0.0000 1
I2 I 0.5000 0.5000 0.5000 1
O1 O 0.0000 0.5000 0.5000 1
```

Properties
magnetic moment: 0.0 μB/cell
E_form (uncorrected): 323 meV per atom
energy above the most stable polymorph in this dataset: 0.493 eV/atom


# 2
Density functional theory data (GGA-PBE) for BeIO2 after structural relaxation.

```
data_BeIO2
_symmetry_space_group_name_H-M 'I -4 2 d'
_symmetry_Int_Tables_number 122
_symmetry_space_group_name_Hall 'I -4 2bw'
_cell_length_a 4.8570
_cell_length_b 4.8570
_cell_length_c 8.2551
_cell_angle_alpha 90.00
_cell_angle_beta 90.00
_cell_angle_gamma 90.00
loop_
_atom_site_label
_atom_site_type_symbol
_atom_site_fract_x
_atom_site_fract_y
_atom_site_fract_z
_atom_site_occupancy
Be1 Be 0.0000 0.0000 0.0000 1
I1 I 0.0000 0.0000 0.5000 1
O1 O 0.1003 0.2500 0.1250 1
```

Properties
magnetic moment: 0.0 μB/cell
E_form (uncorrected): -851 meV per atom
energy above the most stable polymorph in this dataset: 0.000 eV/atom


# 3
Density functional theory data (GGA-PBE) for BeIO3 after structural relaxation.

```
data_BeIO3
_symmetry_space_group_name_H-M 'P m -3 m'
_symmetry_Int_Tables_number 221
_symmetry_space_group_name_Hall '-P 4 2 3'
_cell_length_a 4.0942
_cell_length_b 4.0942
_cell_length_c 4.0942
_cell_angle_alpha 90.00
_cell_angle_beta 90.00
_cell_angle_gamma 90.00
loop_
_atom_site_label
_atom_site_type_symbol
_atom_site_fract_x
_atom_site_fract_y
_atom_site_fract_z
_atom_site_occupancy
Be1 Be 0.0000 0.0000 0.0000 1
I1 I 0.5000 0.5000 0.5000 1
O1 O 0.0000 0.5000 0.5000 1
```

Properties
magnetic moment: 0.9 μB/cell
E_form (uncorrected): 441 meV per atom


# 4
Density functional theory data (GGA-PBE) for BeI2O after structural relaxation.

```
data_BeI2O
_symmetry_space_group_name_H-M 'I -4 2 d'
_symmetry_Int_Tables_number 122
_symmetry_space_group_name_Hall 'I -4 2bw'
_cell_length_a 6.6339
_cell_length_b 6.6339
_cell_length_c 9.6308
_cell_angle_alpha 90.00
_cell_angle_beta 90.00
_cell_angle_gamma 90.00
loop_
_atom_site_label
_atom_site_type_symbol
_atom_site_fract_x
_atom_site_fract_y
_atom_site_fract_z
_atom_site_occupancy
Be1 Be 0.0000 0.0000 0.0000 1
I1 I 0.1974 0.2500 0.1250 1
O1 O 0.0000 0.0000 0.5000 1
```

Properties
magnetic moment: 8.0 μB/cell
E_form (uncorrected): 241 meV per atom
energy above the most stable polymorph in this dataset: 0.000 eV/atom


# 5
Density functional theory data (GGA-PBE) for Be2IO after structural relaxation.

```
data_Be2IO
_symmetry_space_group_name_H-M 'I -4 2 d'
_symmetry_Int_Tables_number 122
_symmetry_space_group_name_Hall 'I -4 2bw'
_cell_length_a 4.8227
_cell_length_b 4.8227
_cell_length_c 9.6719
_cell_angle_alpha 90.00
_cell_angle_beta 90.00
_cell_angle_gamma 90.00
loop_
_atom_site_label
_atom_site_type_symbol
_atom_site_fract_x
_atom_site_fract_y
_atom_site_fract_z
_atom_site_occupancy
Be1 Be 0.0714 0.2500 0.1250 1
I1 I 0.0000 0.0000 0.5000 1
O1 O 0.0000 0.0000 0.0000 1
```

Properties
magnetic moment: 0.0 μB/cell
E_form (uncorrected): -604 meV per atom
energy above the most stable polymorph in this dataset: 0.000 eV/atom


# 6
Density functional theory data (GGA-PBE) for BeIO2 after structural relaxation.

```
data_BeIO2
_symmetry_space_group_name_H-M 'R -3 m'
_symmetry_Int_Tables_number 166
_symmetry_space_group_name_Hall '-R 3 2"'
_cell_length_a 3.0268
_cell_length_b 3.0268
_cell_length_c 17.9250
_cell_angle_alpha 90.00
_cell_angle_beta 90.00
_cell_angle_gamma 120.00
loop_
_atom_site_label
_atom_site_type_symbol
_atom_site_fract_x
_atom_site_fract_y
_atom_site_fract_z
_atom_site_occupancy
Be1 Be 0.0000 0.0000 0.0000 1
I1 I 0.0000 0.0000 0.5000 1
O1 O 0.0000 0.0000 0.3836 1
```

Properties
magnetic moment: 0.0 μB/cell
E_form (uncorrected): -759 meV per atom
energy above the most stable polymorph in this dataset: 0.092 eV/atom